1.
# HfMgGa2, optimized geometry, DFT PBE-GGA
# space-group type: P4/mmm (123)
# raw total energy: -18.9 eV for the cell shown
# total magnetic moment: 0.00 μB per formula unit
# formation enthalpy at 0 K: -1.31 eV per formula unit
# volume: 17.99 Å³/atom
# DOS(E_F): 0.433 states/eV/atom
data_HfMgGa2
_space_group_name_H-M_alt 'P 1'
_space_group_IT_number 1
_cell_length_a 3.957
_cell_length_b 4.264
_cell_length_c 4.264
_cell_angle_alpha 90.00
_cell_angle_beta 90.00
_cell_angle_gamma 90.00
loop_
_space_group_symop_operation_xyz
'x,y,z'
loop_
_atom_site_label
_atom_site_type_symbol
_atom_site_fract_x
_atom_site_fract_y
_atom_site_fract_z
Mg1 Mg 0.500 0.000 0.000
Hf1 Hf 0.500 0.500 0.500
Ga1 Ga 0.000 0.000 0.500
Ga2 Ga 0.000 0.500 0.000


2.
# Li2TePd, optimized geometry, DFT PBE-GGA
# space-group type: P4/mmm (123)
# raw total energy: -14.8 eV for the cell shown
# total magnetic moment: 0.00 μB per formula unit
# volume: 16.89 Å³/atom
# raw formation energy: -666 meV per atom
# DOS(E_F): 0.251 states/eV/atom
data_Li2TePd
_space_group_name_H-M_alt 'P 1'
_space_group_IT_number 1
_cell_length_a 4.093
_cell_length_b 4.063
_cell_length_c 4.063
_cell_angle_alpha 90.00
_cell_angle_beta 90.00
_cell_angle_gamma 90.00
loop_
_space_group_symop_operation_xyz
'x,y,z'
loop_
_atom_site_label
_atom_site_type_symbol
_atom_site_fract_x
_atom_site_fract_y
_atom_site_fract_z
Te1 Te 0.500 0.000 0.000
Pd1 Pd 0.500 0.500 0.500
Li1 Li 0.000 0.000 0.500
Li2 Li 0.000 0.500 0.000


volume of number 2 (Li2TePd)? 16.89 Å³/atom


Which formula does entry 2 have? Li2TePd


The lowest raw total energy belongs to which entry? HfMgGa2